[1]
The following is a DFT calculation (PBEsol) of a relaxed CdFeMo2 crystal.

## Properties
- SG = I4/mmm, No. 139
- magnetization (μB per cell) = 4.2
- V (Å³/atom) = 14.9
- energy of formation from the pure elements (eV per atom) = 0.430
- E (eV per cell) = -63.95

a = 3.736 Å, b = 3.736 Å, c = 8.561 Å
α = 90.00°, β = 90.00°, γ = 90.00°
Positions (direct):
Cd 0.000 0.000 0.000
Cd 0.500 0.500 0.500
Fe 0.000 0.000 0.500
Fe 0.500 0.500 0.000
Mo 0.000 0.500 0.250
Mo 0.000 0.500 0.750
Mo 0.500 0.000 0.250
Mo 0.500 0.000 0.750

[2]
The following is a DFT calculation (PBEsol) of a relaxed Na3NbTl crystal.

## Properties
- SG = Pm-3m, No. 221
- magnetization (μB per cell) = 4.1
- V (Å³/atom) = 34.6
- energy of formation from the pure elements (eV per atom) = 1.211
- E (eV per cell) = -11.60

a = 5.574 Å, b = 5.574 Å, c = 5.574 Å
α = 90.00°, β = 90.00°, γ = 90.00°
Positions (direct):
Na 0.000 0.000 0.500
Na 0.000 0.500 0.000
Na 0.500 0.000 0.000
Nb 0.500 0.500 0.500
Tl 0.000 0.000 0.000

[3]
The following is a DFT calculation (PBEsol) of a relaxed Ca2MnPt crystal.

## Properties
- SG = I-4m2, No. 119
- magnetization (μB per cell) = 7.5
- V (Å³/atom) = 20.1
- energy of formation from the pure elements (eV per atom) = -0.003
- E (eV per cell) = -42.01

a = 4.833 Å, b = 4.833 Å, c = 6.868 Å
α = 90.00°, β = 90.00°, γ = 90.00°
Positions (direct):
Ca 0.000 0.000 0.000
Ca 0.000 0.500 0.250
Ca 0.500 0.000 0.750
Ca 0.500 0.500 0.500
Mn 0.000 0.000 0.500
Mn 0.500 0.500 0.000
Pt 0.000 0.500 0.750
Pt 0.500 0.000 0.250

[4]
The following is a DFT calculation (PBEsol) of a relaxed PdAuSe2 crystal.

## Properties
- SG = R-3m, No. 166
- magnetization (μB per cell) = 0.0
- V (Å³/atom) = 22.5
- E (eV per cell) = -54.20

a = 3.758 Å, b = 3.758 Å, c = 22.071 Å
α = 90.00°, β = 90.00°, γ = 120.00°
Positions (direct):
Pd 0.000 0.000 0.000
Pd 0.333 0.667 0.667
Pd 0.667 0.333 0.333
Au 0.000 0.000 0.500
Au 0.333 0.667 0.167
Au 0.667 0.333 0.833
Se 0.000 0.000 0.391
Se 0.000 0.000 0.609
Se 0.333 0.667 0.058
Se 0.333 0.667 0.275
Se 0.667 0.333 0.725
Se 0.667 0.333 0.942

[5]
The following is a DFT calculation (PBEsol) of a relaxed Sr2Pt crystal.

## Properties
- SG = Pa-3, No. 205
- magnetization (μB per cell) = 0.0
- V (Å³/atom) = 33.5
- energy of formation from the pure elements (eV per atom) = -0.573
- E (eV per cell) = -49.45

a = 7.377 Å, b = 7.377 Å, c = 7.377 Å
α = 90.00°, β = 90.00°, γ = 90.00°
Positions (direct):
Sr 0.167 0.167 0.167
Sr 0.167 0.333 0.667
Sr 0.333 0.667 0.167
Sr 0.333 0.833 0.667
Sr 0.667 0.167 0.333
Sr 0.667 0.333 0.833
Sr 0.833 0.667 0.333
Sr 0.833 0.833 0.833
Pt 0.000 0.000 0.500
Pt 0.000 0.500 0.000
Pt 0.500 0.000 0.000
Pt 0.500 0.500 0.500

[6]
The following is a DFT calculation (PBEsol) of a relaxed LiAs2Ru crystal.

## Properties
- SG = Cmmm, No. 65
- magnetization (μB per cell) = 0.0
- V (Å³/atom) = 14.3
- energy of formation from the pure elements (eV per atom) = -0.111
- E (eV per cell) = -45.59

a = 5.516 Å, b = 6.894 Å, c = 3.010 Å
α = 90.00°, β = 90.00°, γ = 90.00°
Positions (direct):
Li 0.000 0.000 0.000
Li 0.500 0.500 0.000
As 0.250 0.250 0.500
As 0.250 0.750 0.500
As 0.750 0.250 0.500
As 0.750 0.750 0.500
Ru 0.000 0.500 0.000
Ru 0.500 0.000 0.000

[7]
The following is a DFT calculation (PBEsol) of a relaxed BeReOs2 crystal.

## Properties
- SG = Pmmm, No. 47
- magnetization (μB per cell) = 0.0
- V (Å³/atom) = 13.3
- energy of formation from the pure elements (eV per atom) = 0.399
- E (eV per cell) = -40.17

a = 2.805 Å, b = 4.319 Å, c = 4.388 Å
α = 90.00°, β = 90.00°, γ = 90.00°
Positions (direct):
Be 0.000 0.000 0.000
Re 0.500 0.000 0.500
Os 0.000 0.500 0.500
Os 0.500 0.500 0.000

[8]
The following is a DFT calculation (PBEsol) of a relaxed Cr3MoP crystal.

## Properties
- SG = Pm-3m, No. 221
- magnetization (μB per cell) = 1.6
- V (Å³/atom) = 13.8
- energy of formation from the pure elements (eV per atom) = 0.642
- E (eV per cell) = -45.07

a = 4.099 Å, b = 4.099 Å, c = 4.099 Å
α = 90.00°, β = 90.00°, γ = 90.00°
Positions (direct):
Cr 0.000 0.000 0.500
Cr 0.000 0.500 0.000
Cr 0.500 0.000 0.000
Mo 0.500 0.500 0.500
P 0.000 0.000 0.000

[9]
The following is a DFT calculation (PBEsol) of a relaxed AlCu2Ni3 crystal.

## Properties
- SG = Cmmm, No. 65
- magnetization (μB per cell) = 0.0
- V (Å³/atom) = 11.0
- energy of formation from the pure elements (eV per atom) = -0.239
- energy above the lowest structure with this stoichiometry (meV per atom) = 22
- E (eV per cell) = -65.34

a = 3.464 Å, b = 10.584 Å, c = 3.606 Å
α = 90.00°, β = 90.00°, γ = 90.00°
Positions (direct):
Al 0.000 0.000 0.000
Al 0.500 0.500 0.000
Cu 0.000 0.169 0.500
Cu 0.000 0.831 0.500
Cu 0.500 0.331 0.500
Cu 0.500 0.669 0.500
Ni 0.000 0.334 0.000
Ni 0.000 0.500 0.500
Ni 0.000 0.666 0.000
Ni 0.500 0.000 0.500
Ni 0.500 0.166 0.000
Ni 0.500 0.834 0.000

[10]
The following is a DFT calculation (PBEsol) of a relaxed LiPd2Au crystal.

## Properties
- SG = Fm-3m, No. 225
- magnetization (μB per cell) = 0.0
- V (Å³/atom) = 14.8
- energy of formation from the pure elements (eV per atom) = -0.253
- E (eV per cell) = -75.28

a = 6.189 Å, b = 6.189 Å, c = 6.189 Å
α = 90.00°, β = 90.00°, γ = 90.00°
Positions (direct):
Li 0.000 0.000 0.000
Li 0.000 0.500 0.500
Li 0.500 0.000 0.500
Li 0.500 0.500 0.000
Pd 0.250 0.250 0.250
Pd 0.250 0.250 0.750
Pd 0.250 0.750 0.250
Pd 0.250 0.750 0.750
Pd 0.750 0.250 0.250
Pd 0.750 0.250 0.750
Pd 0.750 0.750 0.250
Pd 0.750 0.750 0.750
Au 0.000 0.000 0.500
Au 0.000 0.500 0.000
Au 0.500 0.000 0.000
Au 0.500 0.500 0.500

[11]
The following is a DFT calculation (PBEsol) of a relaxed LiGe2HCl crystal.

## Properties
- SG = P4/mmm, No. 123
- magnetization (μB per cell) = 0.0
- V (Å³/atom) = 15.5
- E (eV per cell) = -15.55

a = 4.856 Å, b = 4.856 Å, c = 3.293 Å
α = 90.00°, β = 90.00°, γ = 90.00°
Positions (direct):
Li 0.000 0.000 0.000
Ge 0.000 0.500 0.000
Ge 0.500 0.000 0.000
H 0.000 0.000 0.500
Cl 0.500 0.500 0.500

[12]
The following is a DFT calculation (PBEsol) of a relaxed CaTcBiIr2 crystal.

## Properties
- SG = P4/mmm, No. 123
- magnetization (μB per cell) = 4.0
- V (Å³/atom) = 23.3
- energy of formation from the pure elements (eV per atom) = 2.437
- E (eV per cell) = -25.15

a = 4.694 Å, b = 4.694 Å, c = 5.293 Å
α = 90.00°, β = 90.00°, γ = 90.00°
Positions (direct):
Ca 0.000 0.000 0.000
Tc 0.500 0.500 0.500
Bi 0.000 0.000 0.500
Ir 0.000 0.500 0.000
Ir 0.500 0.000 0.000

> Which value of E does entry 1 give?

-63.95 eV per cell